1.
# ZrSnTe GGA-PBEsol relaxed
# Volume ... 141.5 Å³/cell
# D(E_F) ... 1.422 states/eV/cell
# Raw formation energy ... -0.76 eV/atom
# Density ... 7.92 g/cm3
# E_tot ... -6.38 eV per atom
data_ZrSnTe
_chemical_formula_sum 'Zr2 Sn2 Te2'
_cell_length_a 4.042
_cell_length_b 4.042
_cell_length_c 8.665
_cell_angle_alpha 90.00
_cell_angle_beta 90.00
_cell_angle_gamma 90.00
_space_group_name_H-M_alt 'P 4/n m m'
_space_group_IT_number 129
loop_
_space_group_symop_operation_xyz
'x,y,z'
'-x,-y,-z'
'-y+1/2,x,z'
'y+1/2,-x,-z'
'-x+1/2,-y+1/2,z'
'x+1/2,y+1/2,-z'
'y,-x+1/2,z'
'-y,x+1/2,-z'
'x+1/2,-y,-z'
'-x+1/2,y,z'
'-y,-x,-z'
'y,x,z'
'-x,y+1/2,-z'
'x,-y+1/2,z'
'y+1/2,x+1/2,-z'
'-y+1/2,-x+1/2,z'
loop_
_atom_site_label
_atom_site_type_symbol
_atom_site_fract_x
_atom_site_fract_y
_atom_site_fract_z
_atom_site_occupancy
Zr1 Zr 0.250 0.250 0.236 1
Sn1 Sn 0.250 0.750 0.500 1
Te1 Te 0.250 0.250 0.882 1



2.
# FeCu3S8 GGA-PBEsol relaxed
# Volume ... 526.5 Å³/cell
# D(E_F) ... 13.252 states/eV/cell
# Raw formation energy ... -0.30 eV/atom
# Energy above the most stable polymorph in this dataset ... 0 meV/atom
# Density ... 4.76 g/cm3
# E_tot ... -5.05 eV per atom
data_FeCu3S8
_chemical_formula_sum 'Fe3 Cu9 S24'
_cell_length_a 7.8876
_cell_length_b 7.8876
_cell_length_c 9.7720
_cell_angle_alpha 90.00
_cell_angle_beta 90.00
_cell_angle_gamma 120.00
_space_group_name_H-M_alt 'R -3'
_space_group_IT_number 148
_space_group_name_Hall '-R 3'
loop_
_atom_site_label
_atom_site_type_symbol
_atom_site_fract_x
_atom_site_fract_y
_atom_site_fract_z
_atom_site_occupancy
Fe1 Fe 0.0000 0.0000 0.0000 1
Cu1 Cu 0.0000 0.5000 0.0000 1
S1 S 0.0000 0.0000 0.3968 1
S2 S 0.0258 0.7741 0.8742 1